Ba2BiAu2O6 (GGA-PBE, optimized geometry); space group = No. 166; magnetic moment = 0.85 μB/cell; formation energy from raw total energies = -12.306 eV/f.u.
1.0
-3.714 1.683 -5.023
-2.261 -4.541 -4.017
-6.628 -1.510 0.228
Ba Bi Au O
2 1 2 6
Cartesian
-8.983 -3.219 -6.938
-3.621 -1.148 -1.875
0.000 0.000 0.000
-7.513 -2.330 -3.560
-5.091 -2.038 -5.253
-6.311 -2.589 -6.899
-4.204 -3.544 -4.050
-5.028 -0.014 -4.621
-7.575 -4.354 -4.192
-8.399 -0.824 -4.763
-6.293 -1.779 -1.914